A geometry-optimized Pr2MgZn5 structure. Source: the Alexandria database, functional PBE-GGA.

Output
For the total energy, the calculation gives -2.40 eV per atom. Its energy of formation is -0.2062 eV per atom.

abc: 6.133 6.133 6.133
angles: 102.76 112.93 112.93
Element x y z (fractional)
Pr: 0.500 0.265 0.765
Pr: 0.500 0.765 0.265
Mg: 0.000 0.870 0.870
Zn: 0.392 0.716 0.716
Zn: 0.000 0.716 0.324
Zn: 0.000 0.324 0.716
Zn: 0.608 0.324 0.324
Zn: 0.000 0.242 0.242